First-principles (PBE-GGA) data for Cu2Ag5 after structural relaxation, as listed in OQMD via LeMat-Bulk.

Computed properties:
The energy of formation from the pure elements is 0.5 eV per formula unit. As for the volume: 16.193 Å³/atom. As for the relative energy among the computed polymorphs: 43 meV/atom. The crystal system is monoclinic.

```
data_Cu2Ag5
_chemical_formula_sum 'Cu4 Ag10'
_cell_length_a 9.4476
_cell_length_b 2.8747
_cell_length_c 8.3720
_cell_angle_alpha 90.00
_cell_angle_beta 94.42
_cell_angle_gamma 90.00
_symmetry_space_group_name_H-M 'C 1 2/m 1'
_symmetry_Int_Tables_number 12
loop_
_symmetry_equiv_pos_as_xyz
'x,y,z'
'-x,-y,-z'
'-x,y,-z'
'x,-y,z'
'x+1/2,y+1/2,z'
'-x+1/2,-y+1/2,-z'
'-x+1/2,y+1/2,-z'
'x+1/2,-y+1/2,z'
loop_
_atom_site_label
_atom_site_fract_x
_atom_site_fract_y
_atom_site_fract_z
_atom_site_occupancy
Cu1 0.0687 0.0000 0.2846 1
Ag1 0.0000 0.5000 0.0000 1
Ag2 0.1381 0.5000 0.5651 1
Ag3 0.2199 0.0000 0.8490 1
```

=====

First-principles (PBE-GGA) data for CuAg after structural relaxation, as listed in OQMD via LeMat-Bulk.

Computed properties:
The energy of formation from the pure elements is 0.2 eV per formula unit. As for the volume: 15.057 Å³/atom. The crystal system is triclinic.

```
data_CuAg
_chemical_formula_sum 'Cu3 Ag3'
_cell_length_a 2.7978
_cell_length_b 2.7980
_cell_length_c 13.3149
_cell_angle_alpha 89.70
_cell_angle_beta 89.91
_cell_angle_gamma 60.08
_symmetry_space_group_name_H-M 'P 1'
_symmetry_Int_Tables_number 1
loop_
_symmetry_equiv_pos_as_xyz
'x,y,z'
loop_
_atom_site_label
_atom_site_fract_x
_atom_site_fract_y
_atom_site_fract_z
_atom_site_occupancy
Cu1 0.0000 0.0000 0.0000 1
Cu2 0.3289 0.3091 0.2927 1
Cu3 0.6657 0.6519 0.1464 1
Ag1 0.3290 0.3554 0.8339 1
Ag2 0.6582 0.6794 0.6466 1
Ag3 0.9947 0.9843 0.4593 1
```

=====

First-principles (PBE-GGA) data for Cu3Ag7 after structural relaxation, as listed in OQMD via LeMat-Bulk.

Computed properties:
The energy of formation from the pure elements is 0.8 eV per formula unit. As for the volume: 16.270 Å³/atom. As for the relative energy among the computed polymorphs: 54 meV/atom. The crystal system is monoclinic.

```
data_Cu3Ag7
_chemical_formula_sum 'Cu6 Ag14'
_cell_length_a 4.9387
_cell_length_b 14.1822
_cell_length_c 4.9284
_cell_angle_alpha 90.00
_cell_angle_beta 109.50
_cell_angle_gamma 90.00
_symmetry_space_group_name_H-M 'C 1 2 1'
_symmetry_Int_Tables_number 5
loop_
_symmetry_equiv_pos_as_xyz
'x,y,z'
'-x,y,-z'
'x+1/2,y+1/2,z'
'-x+1/2,y+1/2,-z'
loop_
_atom_site_label
_atom_site_fract_x
_atom_site_fract_y
_atom_site_fract_z
_atom_site_occupancy
Cu1 0.0000 0.0000 0.0000 1
Cu2 0.0000 0.0972 0.5000 1
Cu3 0.0000 0.2919 0.5000 1
Ag1 0.0000 0.1918 0.0000 1
Ag2 0.0000 0.3941 0.0000 1
Ag3 0.0000 0.4964 0.5000 1
Ag4 0.0000 0.5930 0.0000 1
Ag5 0.0000 0.6980 0.5000 1
Ag6 0.0000 0.8002 0.0000 1
Ag7 0.0000 0.9020 0.5000 1
```

=====

First-principles (PBE-GGA) data for Cu5Ag3 after structural relaxation, as listed in OQMD via LeMat-Bulk.

Computed properties:
The energy of formation from the pure elements is 0.6 eV per formula unit. As for the volume: 14.125 Å³/atom. As for the relative energy among the computed polymorphs: 23 meV/atom. The crystal system is monoclinic.

```
data_Cu5Ag3
_chemical_formula_sum 'Cu10 Ag6'
_cell_length_a 9.1911
_cell_length_b 2.8094
_cell_length_c 9.1201
_cell_angle_alpha 90.00
_cell_angle_beta 106.32
_cell_angle_gamma 90.00
_symmetry_space_group_name_H-M 'C 1 2/m 1'
_symmetry_Int_Tables_number 12
loop_
_symmetry_equiv_pos_as_xyz
'x,y,z'
'-x,-y,-z'
'-x,y,-z'
'x,-y,z'
'x+1/2,y+1/2,z'
'-x+1/2,-y+1/2,-z'
'-x+1/2,y+1/2,-z'
'x+1/2,-y+1/2,z'
loop_
_atom_site_label
_atom_site_fract_x
_atom_site_fract_y
_atom_site_fract_z
_atom_site_occupancy
Cu1 0.0000 0.0000 0.0000 1
Cu2 0.0300 0.5000 0.7803 1
Cu3 0.2353 0.5000 0.1050 1
Ag1 0.0000 0.0000 0.5000 1
Ag2 0.2275 0.0000 0.3503 1
```

=====

First-principles (PBE-GGA) data for CuAg after structural relaxation, as listed in OQMD via LeMat-Bulk.

Computed properties:
The energy of formation from the pure elements is 0.2 eV per formula unit. As for the volume: 14.977 Å³/atom. The crystal system is monoclinic.

```
data_CuAg
_chemical_formula_sum 'Cu8 Ag8'
_cell_length_a 17.9333
_cell_length_b 2.7812
_cell_length_c 4.8182
_cell_angle_alpha 90.00
_cell_angle_beta 94.30
_cell_angle_gamma 90.00
_symmetry_space_group_name_H-M 'C 1 m 1'
_symmetry_Int_Tables_number 8
loop_
_symmetry_equiv_pos_as_xyz
'x,y,z'
'x,-y,z'
'x+1/2,y+1/2,z'
'x+1/2,-y+1/2,z'
loop_
_atom_site_label
_atom_site_fract_x
_atom_site_fract_y
_atom_site_fract_z
_atom_site_occupancy
Cu1 0.0000 0.0000 0.0000 1
Cu2 0.0010 0.5000 0.4801 1
Cu3 0.2553 0.0000 0.7397 1
Cu4 0.3865 0.0000 0.1203 1
Ag1 0.1252 0.0000 0.3636 1
Ag2 0.1251 0.5000 0.8606 1
Ag3 0.2600 0.5000 0.2296 1
Ag4 0.3813 0.5000 0.6284 1
```

=====

First-principles (PBE-GGA) data for Cu3Ag7 after structural relaxation, as listed in OQMD via LeMat-Bulk.

Computed properties:
The energy of formation from the pure elements is 0.8 eV per formula unit. As for the volume: 16.188 Å³/atom. As for the relative energy among the computed polymorphs: 48 meV/atom. The crystal system is orthorhombic.

```
data_Cu3Ag7
_chemical_formula_sum 'Cu3 Ag7'
_cell_length_a 2.8723
_cell_length_b 3.9051
_cell_length_c 14.4316
_cell_angle_alpha 90.00
_cell_angle_beta 90.00
_cell_angle_gamma 90.00
_symmetry_space_group_name_H-M 'P m m m'
_symmetry_Int_Tables_number 47
loop_
_symmetry_equiv_pos_as_xyz
'x,y,z'
'-x,-y,-z'
'-x,-y,z'
'x,y,-z'
'x,-y,-z'
'-x,y,z'
'-x,y,-z'
'x,-y,z'
loop_
_atom_site_label
_atom_site_fract_x
_atom_site_fract_y
_atom_site_fract_z
_atom_site_occupancy
Cu1 0.0000 0.0000 0.0000 1
Cu2 0.0000 0.0000 0.4062 1
Ag1 0.0000 0.0000 0.2023 1
Ag2 0.5000 0.5000 0.0958 1
Ag3 0.5000 0.5000 0.3085 1
Ag4 0.5000 0.5000 0.5000 1
```

=====

First-principles (PBE-GGA) data for Cu3Ag2 after structural relaxation, as listed in OQMD via LeMat-Bulk.

Computed properties:
The energy of formation from the pure elements is 0.5 eV per formula unit. As for the volume: 14.289 Å³/atom. As for the relative energy among the computed polymorphs: 59 meV/atom. The crystal system is monoclinic.

```
data_Cu3Ag2
_chemical_formula_sum 'Cu12 Ag8'
_cell_length_a 9.0841
_cell_length_b 2.7776
_cell_length_c 11.4987
_cell_angle_alpha 90.00
_cell_angle_beta 99.94
_cell_angle_gamma 90.00
_symmetry_space_group_name_H-M 'C 1 2/m 1'
_symmetry_Int_Tables_number 12
loop_
_symmetry_equiv_pos_as_xyz
'x,y,z'
'-x,-y,-z'
'-x,y,-z'
'x,-y,z'
'x+1/2,y+1/2,z'
'-x+1/2,-y+1/2,-z'
'-x+1/2,y+1/2,-z'
'x+1/2,-y+1/2,z'
loop_
_atom_site_label
_atom_site_fract_x
_atom_site_fract_y
_atom_site_fract_z
_atom_site_occupancy
Cu1 0.1091 0.0000 0.2010 1
Cu2 0.2013 0.5000 0.3986 1
Cu3 0.2099 0.0000 0.9066 1
Ag1 0.0000 0.0000 0.5000 1
Ag2 0.0000 0.5000 0.0000 1
Ag3 0.1010 0.5000 0.7125 1
```

=====

First-principles (PBE-GGA) data for Cu3Ag2 after structural relaxation, as listed in OQMD via LeMat-Bulk.

Computed properties:
The energy of formation from the pure elements is 0.3 eV per formula unit. As for the volume: 14.263 Å³/atom. As for the relative energy among the computed polymorphs: 21 meV/atom. The crystal system is monoclinic.

```
data_Cu3Ag2
_chemical_formula_sum 'Cu12 Ag8'
_cell_length_a 10.5833
_cell_length_b 2.8203
_cell_length_c 9.5815
_cell_angle_alpha 90.00
_cell_angle_beta 94.07
_cell_angle_gamma 90.00
_symmetry_space_group_name_H-M 'C 1 2/m 1'
_symmetry_Int_Tables_number 12
loop_
_symmetry_equiv_pos_as_xyz
'x,y,z'
'-x,-y,-z'
'-x,y,-z'
'x,-y,z'
'x+1/2,y+1/2,z'
'-x+1/2,-y+1/2,-z'
'-x+1/2,y+1/2,-z'
'x+1/2,-y+1/2,z'
loop_
_atom_site_label
_atom_site_fract_x
_atom_site_fract_y
_atom_site_fract_z
_atom_site_occupancy
Cu1 0.0389 0.0000 0.1305 1
Cu2 0.1518 0.5000 0.9554 1
Cu3 0.2283 0.5000 0.2079 1
Ag1 0.0778 0.5000 0.6693 1
Ag2 0.1485 0.0000 0.4222 1
```